(1)
NpNbClO4 | PBE | relaxed

It has space group C2/m (No. 12), with a = 10.5921 Å, b = 7.3364 Å, c = 6.9581 Å, α = 90.00°, β = 109.69° and γ = 90.00°. The asymmetric unit holds Np at (0.2273, 0.0000, 0.1384), Nb at (0.1304, 0.5000, 0.2460), Cl at (0.0057, 0.0000, 0.7657), O at (0.0584, 0.5000, 0.8471), O at (0.1857, 0.5000, 0.5293) and O at (0.2127, 0.2968, 0.1671).

The uncorrected energy comes out at -249.1 eV for the cell shown. The value obtained for the uncorrected formation energy is -2.51 eV/atom.

=====

(2)
Ac2Tb5Ho4 | PBE | relaxed

It has space group P-1 (No. 2), with a = 6.2676 Å, b = 8.1079 Å, c = 8.1138 Å, α = 107.38°, β = 105.07° and γ = 97.30°. The asymmetric unit holds Ac at (0.1391, 0.2327, 0.0475), Tb at (0.2285, 0.0467, 0.4150), Tb at (0.4118, 0.6853, 0.1424), Tb at (0.5000, 0.5000, 0.5000), Ho at (0.0484, 0.4076, 0.6747) and Ho at (0.3184, 0.8633, 0.7668).

The uncorrected energy comes out at -49.2 eV for the cell shown. As for the formation energy: 0.05 eV per atom.

=====

(3)
Ac5Si2Pb2 | PBE | relaxed

It has space group Cmce (No. 64), with a = 16.8482 Å, b = 8.6092 Å, c = 8.6312 Å, α = 90.00°, β = 90.00° and γ = 90.00°. The asymmetric unit holds Ac at (0.0000, 0.0000, 0.0000), Ac at (0.1300, 0.1788, 0.3235), Si at (0.0000, 0.1073, 0.6094) and Pb at (0.2116, 0.0000, 0.0000).

The uncorrected energy comes out at -174.0 eV for the cell shown. The value obtained for the uncorrected formation energy is -0.52 eV/atom.

=====

(4)
U2MnSi6Ni | PBE | relaxed

It has space group R-3m (No. 166, hexagonal axes), with a = 5.7736 Å, b = 5.7736 Å, c = 33.1470 Å, α = 90.00°, β = 90.00° and γ = 120.00°. The asymmetric unit holds U at (0.0000, 0.0000, 0.1153), U at (0.0000, 0.0000, 0.2903), Mn at (0.0000, 0.0000, 0.0000), Mn at (0.0000, 0.0000, 0.5000), Si at (0.0505, 0.5252, 0.2957), Si at (0.0611, 0.5306, 0.8693) and Ni at (0.0000, 0.0000, 0.4258).

The uncorrected energy comes out at -437.5 eV for the cell shown. The value obtained for the uncorrected formation energy is -0.29 eV/atom.

=====

(5)
ZnTeC3 | PBE | relaxed

It has space group Pm-3m (No. 221), with a = 4.2028 Å, b = 4.2028 Å, c = 4.2028 Å, α = 90.00°, β = 90.00° and γ = 90.00°. The asymmetric unit holds Zn at (0.0000, 0.0000, 0.0000), Te at (0.5000, 0.5000, 0.5000) and C at (0.0000, 0.5000, 0.5000).

The uncorrected energy comes out at -17.2 eV for the cell shown. The value obtained for the uncorrected formation energy is 2.97 eV/atom.

=====

(6)
PmCd3Pd3 | PBE | relaxed

It has space group R3m (No. 160, hexagonal axes), with a = 9.4801 Å, b = 9.4801 Å, c = 5.6157 Å, α = 90.00°, β = 90.00° and γ = 120.00°. The asymmetric unit holds Pm at (0.0000, 0.0000, 0.0000), Cd at (0.1864, 0.3728, 0.2117) and Pd at (0.0069, 0.5034, 0.3916).

The uncorrected energy comes out at -78.4 eV for the cell shown. As for the formation energy: -0.44 eV per atom.

=====

(7)
Tb3Pr2Tl2 | PBE | relaxed

It has space group C2/m (No. 12), with a = 9.5446 Å, b = 5.5202 Å, c = 8.8235 Å, α = 90.00°, β = 111.23° and γ = 90.00°. The asymmetric unit holds Tb at (0.0000, 0.0000, 0.0000), Tb at (0.1536, 0.0000, 0.4603), Pr at (0.0770, 0.5000, 0.7307) and Tl at (0.2174, 0.5000, 0.1522).

The uncorrected energy comes out at -59.1 eV for the cell shown. As for the formation energy: -0.20 eV per atom.

=====

(8)
YSI | PBE | relaxed

It has space group I4mm (No. 107), with a = 3.6345 Å, b = 3.6345 Å, c = 13.7934 Å, α = 90.00°, β = 90.00° and γ = 90.00°. The asymmetric unit holds Y at (0.0000, 0.0000, 0.0000), S at (0.0000, 0.0000, 0.5829) and I at (0.0000, 0.0000, 0.3386).

The uncorrected energy comes out at -32.9 eV for the cell shown. The value obtained for the uncorrected formation energy is -1.43 eV/atom.

=====

Q: Which of these has the lowest uncorrected energy?
A: U2MnSi6Ni

=====

Q: What is the uncorrected energy in the sixth record?
A: -78.4 eV for the cell shown

=====

Q: Look up the uncorrected energy of the fourth one.
A: -437.5 eV for the cell shown